Entry from Alexandria: an optimized crystal structure of NaY2Ga (PBE).

Energy of formation from the pure elements: -178 meV per atom
Space group: No. 123

Lattice parameters (Å, degrees): 3.5131 3.5131 9.2150 90.00 90.00 90.00
Sites, in units of the cell vectors:
Y: 0.0000 0.0000 0.8045
Y: 0.0000 0.0000 0.1955
Na: 0.5000 0.5000 0.5000
Ga: 0.5000 0.5000 0.0000

=====

Entry from Alexandria: an optimized crystal structure of MgZnNi2Ir (PBE).

Energy of formation from the pure elements: 682 meV per atom
Space group: No. 123

Lattice parameters (Å, degrees): 4.6094 4.6094 4.7016 90.00 90.00 90.00
Last column: magnetic moment on the atom in μB.
Sites, in units of the cell vectors:
Ni: 0.0000 0.5000 0.0000  0.76
Ni: 0.5000 0.0000 0.0000  0.76
Zn: 0.0000 0.0000 0.5000  0.01
Ir: 0.0000 0.0000 0.0000  0.56
Mg: 0.5000 0.5000 0.5000  -0.01

=====

Entry from Alexandria: an optimized crystal structure of Ba2WAu (PBE).

Energy of formation from the pure elements: 903 meV per atom
Space group: No. 12

Lattice parameters (Å, degrees): 4.6310 4.6310 8.8715 80.49 80.49 47.92
Last column: magnetic moment on the atom in μB.
Sites, in units of the cell vectors:
Au: 0.2500 0.2500 0.2500  0.01
Ba: 0.0018 0.0018 0.9953  0.04
Ba: 0.4982 0.4982 0.5047  0.04
W: 0.7500 0.7500 0.7500  2.18

=====

Entry from Alexandria: an optimized crystal structure of K3ScPd2O6 (PBE).

E_form (uncorrected): -1.3857 eV/atom
Space group: No. 12

Lattice parameters (Å, degrees): 5.7513 5.7513 6.2660 97.74 97.74 122.23
Last column: magnetic moment on the atom in μB.
Sites, in units of the cell vectors:
K: 0.1727 0.8273 0.5000  0.00
K: 0.8273 0.1727 0.5000  0.00
K: 0.5000 0.5000 0.5000  0.01
Sc: 0.0000 0.0000 0.0000  0.00
Pd: 0.3365 0.6635 0.0000  0.56
Pd: 0.6635 0.3365 0.0000  0.56
O: 0.9246 0.6022 0.8223  0.10
O: 0.7397 0.7397 0.1910  0.17
O: 0.0754 0.3978 0.1777  0.10
O: 0.6022 0.9246 0.8223  0.10
O: 0.2603 0.2603 0.8090  0.17
O: 0.3978 0.0754 0.1777  0.10

=====

Entry from Alexandria: an optimized crystal structure of BeSi2W (PBE).

E_form (uncorrected): 0.2371 eV/atom
Space group: No. 166

Lattice parameters (Å, degrees): 7.8342 7.8342 7.8342 20.96 20.96 20.96
Sites, in units of the cell vectors:
Be: 0.7500 0.7500 0.7500
Si: 0.0064 0.0064 0.0064
Si: 0.4936 0.4936 0.4936
W: 0.2500 0.2500 0.2500

=====

Entry from Alexandria: an optimized crystal structure of BaTa2Cr (PBE).

Energy of formation from the pure elements: 1393 meV per atom
Space group: No. 225

Lattice parameters (Å, degrees): 4.8155 4.8155 4.8155 60.00 60.00 60.00
Sites, in units of the cell vectors:
Cr: 0.0000 0.0000 0.0000
Ba: 0.5000 0.5000 0.5000
Ta: 0.2500 0.2500 0.2500
Ta: 0.7500 0.7500 0.7500

=====

Entry from Alexandria: an optimized crystal structure of Zr2TlAs (PBE).

Energy of formation from the pure elements: 236 meV per atom
Space group: No. 216

Lattice parameters (Å, degrees): 5.0465 5.0465 5.0465 60.00 60.00 60.00
Last column: magnetic moment on the atom in μB.
Sites, in units of the cell vectors:
Tl: 0.2500 0.2500 0.2500  0.02
As: 0.5000 0.5000 0.5000  -0.04
Zr: 0.0000 0.0000 0.0000  0.87
Zr: 0.7500 0.7500 0.7500  0.71

=====

Entry from Alexandria: an optimized crystal structure of K2MoRh (PBE).

Energy of formation from the pure elements: 658 meV per atom
Space group: No. 12

Lattice parameters (Å, degrees): 10.5119 10.5119 3.9180 79.74 79.74 17.65
Last column: magnetic moment on the atom in μB.
Sites, in units of the cell vectors:
K: 0.1027 0.1027 0.8889  0.01
K: 0.3973 0.3973 0.6111  0.01
Mo: 0.2500 0.2500 0.2500  0.57
Rh: 0.7500 0.7500 0.7500  0.01

=====

Entry from Alexandria: an optimized crystal structure of Sc3ZnN (PBE).

E_form (uncorrected): 0.6142 eV/atom
Space group: No. 119

Lattice parameters (Å, degrees): 4.6193 4.6193 11.3343 78.24 78.24 90.00
Last column: magnetic moment on the atom in μB.
Sites, in units of the cell vectors:
Sc: 0.6397 0.8726 0.2549  0.14
Sc: 0.1274 0.3603 0.7451  0.07
Sc: 0.1274 0.8946 0.7451  0.07
Sc: 0.1054 0.8726 0.2549  0.15
Sc: 0.3052 0.3052 0.3897  0.03
Sc: 0.6948 0.6948 0.6103  -0.01
Zn: 0.0000 0.0000 0.0000  0.04
Zn: 0.2500 0.7500 0.5000  -0.02
N: 0.6480 0.1480 0.7040  0.01
N: 0.8520 0.3520 0.2960  0.01

=====

Entry from Alexandria: an optimized crystal structure of TaTiMo4 (PBE).

Energy of formation from the pure elements: 11 meV per atom
Space group: No. 216

Lattice parameters (Å, degrees): 5.2587 5.2587 5.2587 60.00 60.00 60.00
Sites, in units of the cell vectors:
Mo: 0.6250 0.6250 0.1251
Mo: 0.6250 0.1251 0.6250
Mo: 0.6250 0.6250 0.6250
Mo: 0.1251 0.6250 0.6250
Ti: 0.0000 0.0000 0.0000
Ta: 0.2500 0.2500 0.2500

=====

Entry from Alexandria: an optimized crystal structure of TbPr2Sb (PBE).

E_form (uncorrected): -0.4981 eV/atom
Space group: No. 123

Lattice parameters (Å, degrees): 4.2678 4.2678 6.9154 90.00 90.00 90.00
Sites, in units of the cell vectors:
Pr: 0.0000 0.0000 0.7295
Pr: 0.0000 0.0000 0.2705
Sb: 0.5000 0.5000 0.5000
Tb: 0.5000 0.5000 0.0000

=====

Entry from Alexandria: an optimized crystal structure of Pu2MgGa3Au12 (PBE).

Energy of formation from the pure elements: -137 meV per atom
Space group: No. 166

Lattice parameters (Å, degrees): 7.2306 7.2306 7.2306 84.59 84.59 84.59
Last column: magnetic moment on the atom in μB.
Sites, in units of the cell vectors:
Pu: 0.7056 0.7056 0.7056  5.39
Pu: 0.2944 0.2944 0.2944  5.39
Mg: 0.0000 0.0000 0.0000  0.01
Ga: 0.5000 0.0000 0.0000  0.02
Ga: 0.0000 0.5000 0.0000  0.02
Ga: 0.0000 0.0000 0.5000  0.02
Au: 0.4084 0.4084 0.8768  0.02
Au: 0.8077 0.8077 0.2930  0.02
Au: 0.2930 0.8077 0.8077  0.02
Au: 0.8768 0.4084 0.4084  0.02
Au: 0.8077 0.2930 0.8077  0.02
Au: 0.4084 0.8768 0.4084  0.02
Au: 0.5916 0.5916 0.1232  0.02
Au: 0.1923 0.1923 0.7070  0.02
Au: 0.7070 0.1923 0.1923  0.02
Au: 0.1232 0.5916 0.5916  0.02
Au: 0.1923 0.7070 0.1923  0.02
Au: 0.5916 0.1232 0.5916  0.02